Entry from Alexandria: a relaxed Zr2VBiBr crystal (GGA-PBE).

abc: 5.0679 5.0679 4.6372
angles: 90.00 90.00 90.00
Positions (direct):
Zr (0.0000, 0.5000, 0.0000)
Zr (0.5000, 0.0000, 0.0000)
V (0.0000, 0.0000, 0.5000)
Bi (0.5000, 0.5000, 0.5000)
Br (0.0000, 0.0000, 0.0000)

Output
Density = 7.28 g/cm3
Symmetry = P4/mmm (123)
Total magnetization = 2.7 μB/cell
Energy = -5.8931 eV/atom
DOS at the Fermi energy = 1.058 states/eV per atom
Formation energy without anion corrections = 461 meV/atom